A plane-wave DFT calculation with GGA+U was carried out for crystalline RbTiCrO6 at its relaxed geometry.

Summary:
- E_tot: -61.44 eV per cell

a b c (Å): 5.469 5.182 6.405
angles (deg): 86.29 84.61 61.52
Sites, in units of the cell vectors:
O  0.546  0.994  0.249
O  0.996  0.392  0.326
O  0.655  0.461  0.771
O  0.938  0.692  0.676
O  0.422  0.519  0.396
O  0.368  0.069  0.633
Ti  0.684  0.663  0.546
Rb  0.067  0.949  0.997
Cr  0.323  0.261  0.405

---

A plane-wave DFT calculation with GGA+U was carried out for crystalline Rb2TiCrO5 at its relaxed geometry.

Summary:
- E_tot: -120.55 eV per cell

a b c (Å): 3.202 8.009 12.227
angles (deg): 90.00 90.00 101.53
Sites, in units of the cell vectors:
O  0.288  0.575  0.620
O  0.326  0.651  0.995
O  0.049  0.099  0.025
O  0.488  0.975  0.322
O  0.682  0.365  0.918
O  0.951  0.901  0.525
O  0.712  0.425  0.120
O  0.318  0.635  0.418
O  0.512  0.025  0.822
O  0.674  0.349  0.495
Cr  0.781  0.562  0.526
Cr  0.219  0.438  0.026
Rb  0.140  0.280  0.302
Rb  0.860  0.720  0.802
Rb  0.894  0.788  0.169
Rb  0.106  0.212  0.669
Ti  0.565  0.131  0.946
Ti  0.435  0.869  0.446